Entry 1:
# AcYTmSn PBE-GGA relaxed
data_AcYTmSn
_chemical_formula_sum 'Ac4 Y4 Tm4 Sn4'
_symmetry_space_group_name_H-M 'F -4 3 m'
_symmetry_Int_Tables_number 216
_symmetry_space_group_name_Hall 'F -4 2 3'
_cell_length_a 7.828
_cell_length_b 7.828
_cell_length_c 7.828
_cell_angle_alpha 90.00
_cell_angle_beta 90.00
_cell_angle_gamma 90.00
loop_
_atom_site_label
_atom_site_type_symbol
_atom_site_fract_x
_atom_site_fract_y
_atom_site_fract_z
_atom_site_occupancy
Ac1 Ac 0.000 0.000 0.000 1
Y1 Y 0.250 0.250 0.250 1
Tm1 Tm 0.250 0.250 0.750 1
Sn1 Sn 0.000 0.000 0.500 1
# - ΔH_f (0 K): -0.145 eV/atom



Entry 2:
# ScCuPb2 PBE-GGA relaxed
data_ScCuPb2
_chemical_formula_sum 'Sc2 Cu2 Pb4'
_symmetry_space_group_name_H-M 'C 1 2/m 1'
_symmetry_Int_Tables_number 12
_cell_length_a 8.627
_cell_length_b 4.359
_cell_length_c 5.307
_cell_angle_alpha 90.00
_cell_angle_beta 109.89
_cell_angle_gamma 90.00
loop_
_symmetry_equiv_pos_as_xyz
'x,y,z'
'-x,-y,-z'
'-x,y,-z'
'x,-y,z'
'x+1/2,y+1/2,z'
'-x+1/2,-y+1/2,-z'
'-x+1/2,y+1/2,-z'
'x+1/2,-y+1/2,z'
loop_
_atom_site_label
_atom_site_type_symbol
_atom_site_fract_x
_atom_site_fract_y
_atom_site_fract_z
_atom_site_occupancy
Sc1 Sc 0.000 0.000 0.000 1
Cu1 Cu 0.000 0.500 0.500 1
Pb1 Pb 0.245 0.000 0.720 1
# - Energy relative to the lowest polymorph listed for this composition: 0.0997 eV per atom
# - ΔH_f (0 K): 0.028 eV/atom



Entry 3:
# YZr4N6 PBE-GGA relaxed
data_YZr4N6
_chemical_formula_sum 'Y4 Zr16 N24'
_symmetry_space_group_name_H-M 'C m c m'
_symmetry_Int_Tables_number 63
_symmetry_space_group_name_Hall '-C 2c 2'
_cell_length_a 3.220
_cell_length_b 10.799
_cell_length_c 16.484
_cell_angle_alpha 90.00
_cell_angle_beta 90.00
_cell_angle_gamma 90.00
loop_
_atom_site_label
_atom_site_type_symbol
_atom_site_fract_x
_atom_site_fract_y
_atom_site_fract_z
_atom_site_occupancy
Y1 Y 0.000 0.148 0.250 1
Zr1 Zr 0.000 0.107 0.638 1
Zr2 Zr 0.000 0.369 0.549 1
N1 N 0.000 0.000 0.000 1
N2 N 0.000 0.194 0.750 1
N3 N 0.000 0.271 0.082 1
N4 N 0.000 0.465 0.660 1
# - Energy relative to the elements, uncorrected: -1.614 eV/atom



Entry 4:
# LiPmDyTl PBE-GGA relaxed
data_LiPmDyTl
_chemical_formula_sum 'Li4 Pm4 Dy4 Tl4'
_symmetry_space_group_name_H-M 'F -4 3 m'
_symmetry_Int_Tables_number 216
_symmetry_space_group_name_Hall 'F -4 2 3'
_cell_length_a 7.571
_cell_length_b 7.571
_cell_length_c 7.571
_cell_angle_alpha 90.00
_cell_angle_beta 90.00
_cell_angle_gamma 90.00
loop_
_atom_site_label
_atom_site_type_symbol
_atom_site_fract_x
_atom_site_fract_y
_atom_site_fract_z
_atom_site_occupancy
Li1 Li 0.000 0.000 0.000 1
Pm1 Pm 0.250 0.250 0.250 1
Dy1 Dy 0.250 0.250 0.750 1
Tl1 Tl 0.000 0.000 0.500 1
# - ΔH_f (0 K): -0.196 eV/atom



| no. | size of the total moment (μB/cell) |
| --- | --- |
| 1 | 0.01 |
| 2 | 0.00 |
| 3 | 0.00 |
| 4 | 0.00 |